Entry 1:
Compound: CaSbBr
Source: Alexandria via LeMat-Bulk
Functional: PBE
Structure: optimized geometry

Unit cell a=5.1953 b=5.1953 c=5.1953 alpha=60.00 beta=60.00 gamma=60.00
Element x y z (fractional)
Ca 0.0000 0.0000 0.0000
Sb 0.5000 0.5000 0.5000
Br 0.7500 0.7500 0.7500

Output
Formation energy without anion corrections in eV/f.u.: -0.97
Offset from the most stable computed form in meV per atom: 326
DFT total energy in eV per atom: -2.92

Entry 2:
Compound: CaSbBr2
Source: Alexandria via LeMat-Bulk
Functional: PBE
Structure: optimized geometry

Unit cell a=6.9239 b=6.9239 c=6.9239 alpha=105.01 beta=105.01 gamma=118.82
Element x y z (fractional)
Ca 0.0000 0.0000 0.0000
Ca 0.7500 0.2500 0.5000
Sb 0.2500 0.7500 0.5000
Sb 0.5000 0.5000 0.0000
Br 0.0912 0.6250 0.9662
Br 0.3750 0.3412 0.4662
Br 0.6588 0.1250 0.0338
Br 0.8750 0.9088 0.5338

Output
Formation energy without anion corrections in eV/f.u.: -3.01
Offset from the most stable computed form in meV per atom: 289
DFT total energy in eV per atom: -3.12

Entry 3:
Compound: CaSbBr2
Source: Alexandria via LeMat-Bulk
Functional: PBE
Structure: optimized geometry

Unit cell a=5.0889 b=5.0889 c=4.8767 alpha=90.00 beta=90.00 gamma=91.42
Element x y z (fractional)
Ca 0.0000 0.0000 0.0000
Sb 0.5000 0.5000 0.0000
Br 0.2505 0.7495 0.5000
Br 0.7495 0.2505 0.5000

Output
Formation energy without anion corrections in eV/f.u.: -3.29
Offset from the most stable computed form in meV per atom: 220
DFT total energy in eV per atom: -3.19

Entry 4:
Compound: Ca2SbBr
Source: Alexandria via LeMat-Bulk
Functional: PBE
Structure: optimized geometry

Unit cell a=5.5104 b=5.5104 c=3.7672 alpha=90.00 beta=90.00 gamma=90.00
Element x y z (fractional)
Ca 0.0000 0.5000 0.0000
Ca 0.5000 0.0000 0.0000
Sb 0.0000 0.0000 0.5000
Br 0.5000 0.5000 0.5000

Output
Formation energy without anion corrections in eV/f.u.: -4.61
DFT total energy in eV per atom: -3.60

Entry 5:
Compound: CaSbBr2
Source: Alexandria via LeMat-Bulk
Functional: PBE
Structure: optimized geometry

Unit cell a=5.8290 b=5.8290 c=5.8290 alpha=129.85 beta=129.85 gamma=73.64
Element x y z (fractional)
Ca 0.0000 0.0000 0.0000
Sb 0.5000 0.5000 0.0000
Br 0.2500 0.7500 0.5000
Br 0.7500 0.2500 0.5000

Output
Formation energy without anion corrections in eV/f.u.: -2.50
Offset from the most stable computed form in meV per atom: 415
DFT total energy in eV per atom: -2.99

Entry 6:
Compound: Ca2SbBr
Source: Alexandria via LeMat-Bulk
Functional: PBE
Structure: optimized geometry

Unit cell a=11.5548 b=11.5548 c=11.5548 alpha=19.31 beta=19.31 gamma=19.31
Element x y z (fractional)
Ca 0.0000 0.0000 0.0000
Ca 0.2325 0.2325 0.2325
Sb 0.7346 0.7346 0.7346
Br 0.5141 0.5141 0.5141

Output
Formation energy without anion corrections in eV/f.u.: -2.75
DFT total energy in eV per atom: -3.14

Entry 7:
Compound: CaSbBr2
Source: Alexandria via LeMat-Bulk
Functional: PBE
Structure: optimized geometry

Unit cell a=3.8791 b=5.9244 c=5.5053 alpha=90.00 beta=110.47 gamma=90.00
Element x y z (fractional)
Ca 0.0000 0.0000 0.0000
Sb 0.4126 0.5000 0.8283
Br 0.1516 0.5000 0.3055
Br 0.7063 0.0000 0.4156

Output
Formation energy without anion corrections in eV/f.u.: -3.79
Offset from the most stable computed form in meV per atom: 92
DFT total energy in eV per atom: -3.32

Entry 8:
Compound: Ca4Sb2Br3
Source: Alexandria via LeMat-Bulk
Functional: PBE
Structure: optimized geometry

Unit cell a=4.3779 b=4.3779 c=18.3762 alpha=90.04 beta=90.04 gamma=59.95
Element x y z (fractional)
Ca 0.0006 0.0006 0.3174
Ca 0.3338 0.3338 0.1123
Ca 0.6662 0.6662 0.8877
Ca 0.9994 0.9994 0.6826
Sb 0.3328 0.3328 0.7928
Sb 0.6672 0.6672 0.2072
Br 0.0000 0.0000 0.0000
Br 0.3340 0.3340 0.3986
Br 0.6660 0.6660 0.6014

Output
Formation energy without anion corrections in eV/f.u.: -12.81
DFT total energy in eV per atom: -3.79

Entry 9:
Compound: Ca2SbBr
Source: Alexandria via LeMat-Bulk
Functional: PBE
Structure: optimized geometry

Unit cell a=5.4599 b=5.4599 c=5.4599 alpha=60.00 beta=60.00 gamma=60.00
Element x y z (fractional)
Ca 0.2500 0.2500 0.2500
Ca 0.7500 0.7500 0.7500
Sb 0.0000 0.0000 0.0000
Br 0.5000 0.5000 0.5000

Output
Formation energy without anion corrections in eV/f.u.: -4.93
DFT total energy in eV per atom: -3.68

Entry 10:
Compound: Ca3Sb2Br
Source: Alexandria via LeMat-Bulk
Functional: PBE
Structure: optimized geometry

Unit cell a=8.6648 b=8.6648 c=15.4249 alpha=94.01 beta=94.01 gamma=136.49
Element x y z (fractional)
Ca 0.0036 0.9964 0.7500
Ca 0.0962 0.4994 0.1220
Ca 0.1584 0.3192 0.4995
Ca 0.3192 0.1584 0.9995
Ca 0.3665 0.6335 0.7500
Ca 0.4994 0.0962 0.6220
Ca 0.5006 0.9038 0.3780
Ca 0.6335 0.3665 0.2500
Ca 0.6808 0.8416 0.0005
Ca 0.8416 0.6808 0.5005
Ca 0.9038 0.5006 0.8780
Ca 0.9964 0.0036 0.2500
Sb 0.0202 0.6313 0.6733
Sb 0.1210 0.3392 0.9228
Sb 0.3392 0.1210 0.4228
Sb 0.3687 0.9798 0.8267
Sb 0.6313 0.0202 0.1733
Sb 0.6608 0.8790 0.5772
Sb 0.8790 0.6608 0.0772
Sb 0.9798 0.3687 0.3267
Br 0.3074 0.3424 0.1549
Br 0.3424 0.3074 0.6549
Br 0.6576 0.6926 0.3451
Br 0.6926 0.6576 0.8451

Output
Formation energy without anion corrections in eV/f.u.: -6.66
DFT total energy in eV per atom: -3.76

Entry 11:
Compound: CaSbBr2
Source: Alexandria via LeMat-Bulk
Functional: PBE
Structure: optimized geometry

Unit cell a=6.2217 b=6.2217 c=6.2217 alpha=146.27 beta=116.59 gamma=73.79
Element x y z (fractional)
Ca 0.0000 0.0000 0.0000
Sb 0.5000 0.5000 0.0000
Br 0.2297 0.7297 0.5000
Br 0.7703 0.2703 0.5000

Output
Formation energy without anion corrections in eV/f.u.: -3.41
Offset from the most stable computed form in meV per atom: 188
DFT total energy in eV per atom: -3.22

Entry 12:
Compound: CaSbBr2
Source: Alexandria via LeMat-Bulk
Functional: PBE
Structure: optimized geometry

Unit cell a=5.4163 b=5.4163 c=5.4163 alpha=60.00 beta=60.00 gamma=60.00
Element x y z (fractional)
Ca 0.0000 0.0000 0.0000
Sb 0.5000 0.5000 0.5000
Br 0.2500 0.2500 0.2500
Br 0.7500 0.7500 0.7500

Output
Formation energy without anion corrections in eV/f.u.: -2.40
Offset from the most stable computed form in meV per atom: 442
DFT total energy in eV per atom: -2.97